# Fe3O2F4, relaxed, DFT GGA+U
# - Size of the total moment: 56.000 Bohr magnetons per cell
# - ΔE to the lowest computed polymorph: 13 kJ/mol of formula units
data_Fe3O2F4
_chemical_formula_sum 'Fe12 O8 F16'
_space_group_name_H-M_alt 'C m m m'
_space_group_IT_number 65
_space_group_name_Hall '-C 2 2'
_cell_length_a 6.6282
_cell_length_b 20.5385
_cell_length_c 3.1235
_cell_angle_alpha 90.00
_cell_angle_beta 90.00
_cell_angle_gamma 90.00
loop_
_atom_site_label
_atom_site_fract_x
_atom_site_fract_y
_atom_site_fract_z
Fe1 0.0000 0.0000 0.0000
Fe2 0.0000 0.1723 0.5000
Fe3 0.0000 0.3258 0.0000
Fe4 0.0000 0.5000 0.5000
O1 0.0000 0.2703 0.5000
O2 0.2021 0.5000 0.0000
F1 0.0000 0.0658 0.5000
F2 0.0000 0.3961 0.5000
F3 0.2055 0.1599 0.0000